1.
Compound: KFe3Si
Source: the Alexandria database
Functional: PBE
Structure: relaxed

Calculated values
- ΔE_f (raw) (eV per atom) = 0.857
- SG = Pm-3m (221)
- E_tot (eV/cell) = -27.62
- polymorph energy (0 for the lowest one) (eV per atom) = 0.000

a b c (Å): 4.579 4.579 4.579
angles (deg): 90.00 90.00 90.00
Element x y z (fractional)
K 0.000 0.000 0.000
Fe 0.000 0.500 0.500
Fe 0.500 0.000 0.500
Fe 0.500 0.500 0.000
Si 0.500 0.500 0.500



2.
Compound: KYCl2F
Source: the Alexandria database
Functional: PBE
Structure: relaxed

Calculated values
- ΔE_f (raw) (eV per atom) = -2.276
- SG = P4/mmm (123)
- E_tot (eV/cell) = -24.51

a b c (Å): 5.477 5.477 4.431
angles (deg): 90.00 90.00 90.00
Element x y z (fractional)
K 0.000 0.000 0.000
Y 0.500 0.500 0.500
Cl 0.000 0.500 0.500
Cl 0.500 0.000 0.500
F 0.500 0.500 0.000



3.
Compound: LiDy2Hg2
Source: the Alexandria database
Functional: PBE
Structure: relaxed

Calculated values
- SG = Ibam (72)
- E_tot (eV/cell) = -26.07
- formation energy from the elements (eV per atom) = -0.26

a b c (Å): 7.701 7.701 7.701
angles (deg): 123.62 74.17 135.98
Element x y z (fractional)
Li 0.250 0.250 0.000
Li 0.750 0.750 0.000
Dy 0.177 0.679 0.856
Dy 0.323 0.179 0.502
Dy 0.677 0.821 0.498
Dy 0.823 0.321 0.144
Hg 0.081 0.287 0.368
Hg 0.419 0.787 0.207
Hg 0.581 0.213 0.793
Hg 0.919 0.713 0.632



4.
Compound: NaNbAu3
Source: the Alexandria database
Functional: PBE
Structure: relaxed

Calculated values
- SG = Pm-3m (221)
- E_tot (eV/cell) = -18.94
- formation energy from the elements (eV per atom) = 0.46
- polymorph energy (0 for the lowest one) (eV per atom) = 0.000

a b c (Å): 5.201 5.201 5.201
angles (deg): 90.00 90.00 90.00
Element x y z (fractional)
Na 0.000 0.000 0.000
Nb 0.500 0.500 0.500
Au 0.000 0.500 0.500
Au 0.500 0.000 0.500
Au 0.500 0.500 0.000



5.
Compound: CaYTe2
Source: the Alexandria database
Functional: PBE
Structure: relaxed

Calculated values
- ΔE_f (raw) (eV per atom) = -1.470
- SG = C2/m (12)
- E_tot (eV/cell) = -20.63
- polymorph energy (0 for the lowest one) (eV per atom) = 0.000

a b c (Å): 4.395 4.395 7.767
angles (deg): 106.35 106.35 60.00
Element x y z (fractional)
Ca 0.000 0.000 0.000
Y 0.500 0.500 0.500
Te 0.248 0.248 0.746
Te 0.752 0.752 0.254



6.
Compound: CdSnHgF2
Source: the Alexandria database
Functional: PBE
Structure: relaxed

Calculated values
- ΔE_f (raw) (eV per atom) = -1.209
- SG = P4/mmm (123)
- E_tot (eV/cell) = -15.01
- polymorph energy (0 for the lowest one) (eV per atom) = 0.022

a b c (Å): 4.485 4.485 5.795
angles (deg): 90.00 90.00 90.00
Element x y z (fractional)
Cd 0.000 0.000 0.000
Sn 0.500 0.500 0.500
Hg 0.500 0.500 0.000
F 0.000 0.500 0.500
F 0.500 0.000 0.500